No. 1
DFT (PBE-GGA) results for a geometry-optimized Pr5Sm2Tl5 structure.

Computed properties:
- crystal system = monoclinic
- DFT total energy (eV/atom) = -3.9955
- symmetry = C2/m (12)

```
Pr5Sm2Tl5
1.0
5.290 0.000 0.000
-2.645 6.012 -0.383
0.000 -3.510 12.205
Tl Pr Sm
5 5 2
direct
0.840 0.680 0.535
0.000 0.000 0.000
0.160 0.320 0.465
0.721 0.442 0.773
0.279 0.558 0.227
0.654 0.307 0.005
0.500 0.000 0.500
0.350 0.699 0.717
0.346 0.693 0.995
0.650 0.301 0.283
0.063 0.125 0.764
0.937 0.875 0.236
```


No. 2
DFT (PBE-GGA) results for a geometry-optimized V2CdIr2 structure.

Computed properties:
- crystal system = tetragonal
- DFT total energy (eV/atom) = -7.5644
- symmetry = P4/mbm (127)
- energy relative to the lowest polymorph listed for this composition (kJ/mol of formula units) = 50

```
V2CdIr2
1.0
-5.178 -5.511 0.194
5.418 -5.035 1.588
-0.374 0.446 2.690
Ir Cd V
4 2 4
direct
0.857 0.357 0.500
0.357 0.143 0.500
0.643 0.857 0.500
0.143 0.643 0.500
0.500 0.500 0.000
0.000 0.000 0.000
0.855 0.645 0.000
0.645 0.145 0.000
0.145 0.355 0.000
0.355 0.855 0.000
```